5
Lattice="4.8684 0.0000 0.0000 0.0000 5.3521 0.0000 0.0000 0.0000 4.8684" Properties=species:S:1:pos:R:3 comment="Li2CaZrIn | Alexandria | PBE | optimized geometry" space_group="P4/mmm, No. 123" e_form_mev_per_atom=953.2 pbc="T T T"
Ca 0.0000 0.0000 0.0000
Li 0.0000 0.0000 2.4342
Li 2.4342 0.0000 0.0000
In 2.4342 2.6760 2.4342
Zr 0.0000 2.6760 0.0000